No. 1
KTbZr: relaxed, PBE.

## Properties
- Symmetry: No. 38
- Energy above the most stable polymorph in this dataset: 0.000 eV/atom

Lattice parameters (Å, degrees): 3.153 10.230 10.230 119.93 90.00 90.00
Atoms (fractional coordinates):
K  0.000  0.000  0.000
K  0.000  0.331  0.660
K  0.000  0.660  0.331
Tb  0.500  0.330  0.993
Tb  0.500  0.668  0.668
Tb  0.500  0.993  0.330
Zr  0.000  0.330  0.330
Zr  0.000  0.664  0.997
Zr  0.000  0.997  0.664

---

No. 2
KTcTe: relaxed, PBE.

## Properties
- Symmetry: No. 216
- Energy above the most stable polymorph in this dataset: 0.601 eV/atom

Lattice parameters (Å, degrees): 7.479 7.479 7.479 90.00 90.00 90.00
Atoms (fractional coordinates):
K  0.000  0.000  0.000
K  0.000  0.500  0.500
K  0.500  0.000  0.500
K  0.500  0.500  0.000
Tc  0.250  0.250  0.750
Tc  0.250  0.750  0.250
Tc  0.750  0.250  0.250
Tc  0.750  0.750  0.750
Te  0.250  0.250  0.250
Te  0.250  0.750  0.750
Te  0.750  0.250  0.750
Te  0.750  0.750  0.250

---

No. 3
KThTc: relaxed, PBE.

## Properties
- Symmetry: No. 216
- Total energy: -51.45 eV/cell

Lattice parameters (Å, degrees): 6.841 6.841 6.841 90.00 90.00 90.00
Atoms (fractional coordinates):
K  0.000  0.000  0.000
K  0.000  0.500  0.500
K  0.500  0.000  0.500
K  0.500  0.500  0.000
Th  0.250  0.250  0.250
Th  0.250  0.750  0.750
Th  0.750  0.250  0.750
Th  0.750  0.750  0.250
Tc  0.250  0.250  0.750
Tc  0.250  0.750  0.250
Tc  0.750  0.250  0.250
Tc  0.750  0.750  0.750

---

No. 4
KTcW: relaxed, PBE.

## Properties
- Symmetry: No. 216
- Energy above the most stable polymorph in this dataset: 0.000 eV/atom

Lattice parameters (Å, degrees): 6.363 6.363 6.363 90.00 90.00 90.00
Atoms (fractional coordinates):
K  0.000  0.000  0.000
K  0.000  0.500  0.500
K  0.500  0.000  0.500
K  0.500  0.500  0.000
Tc  0.250  0.250  0.750
Tc  0.250  0.750  0.250
Tc  0.750  0.250  0.250
Tc  0.750  0.750  0.750
W  0.000  0.000  0.500
W  0.000  0.500  0.000
W  0.500  0.000  0.000
W  0.500  0.500  0.500

---

No. 5
KZrTc: relaxed, PBE.

## Properties
- Symmetry: No. 216
- Energy above the most stable polymorph in this dataset: 0.938 eV/atom

Lattice parameters (Å, degrees): 6.763 6.763 6.763 90.00 90.00 90.00
Atoms (fractional coordinates):
K  0.000  0.000  0.000
K  0.000  0.500  0.500
K  0.500  0.000  0.500
K  0.500  0.500  0.000
Zr  0.250  0.250  0.250
Zr  0.250  0.750  0.750
Zr  0.750  0.250  0.750
Zr  0.750  0.750  0.250
Tc  0.250  0.250  0.750
Tc  0.250  0.750  0.250
Tc  0.750  0.250  0.250
Tc  0.750  0.750  0.750

---

No. 6
KTh2Te6: relaxed, PBE.

## Properties
- Symmetry: No. 71
- Total energy: -44.73 eV/cell

Lattice parameters (Å, degrees): 12.484 12.484 12.484 159.45 151.32 35.54
Atoms (fractional coordinates):
K  0.000  0.000  0.000
Th  0.322  0.822  0.500
Th  0.678  0.178  0.500
Te  0.150  0.397  0.753
Te  0.226  0.226  0.000
Te  0.356  0.603  0.753
Te  0.644  0.397  0.247
Te  0.774  0.774  0.000
Te  0.850  0.603  0.247

---

No. 7
KThTlTe3: relaxed, PBE.

## Properties
- Symmetry: No. 63
- Total energy: -51.72 eV/cell

Lattice parameters (Å, degrees): 8.700 8.700 13.138 90.00 90.00 149.66
Atoms (fractional coordinates):
K  0.166  0.834  0.750
K  0.834  0.166  0.250
Th  0.500  0.500  0.000
Th  0.500  0.500  0.500
Tl  0.139  0.861  0.250
Tl  0.861  0.139  0.750
Te  0.127  0.873  0.501
Te  0.127  0.873  0.999
Te  0.495  0.505  0.750
Te  0.505  0.495  0.250
Te  0.873  0.127  0.001
Te  0.873  0.127  0.499

---

No. 8
K2TmTe2: relaxed, PBE.

## Properties
- Symmetry: No. 72
- Total energy: -35.69 eV/cell

Lattice parameters (Å, degrees): 9.002 9.002 9.002 125.16 74.50 133.74
Atoms (fractional coordinates):
K  0.149  0.149  0.298
K  0.351  0.649  0.001
K  0.649  0.351  0.999
K  0.851  0.851  0.702
Tm  0.250  0.750  0.500
Tm  0.750  0.250  0.500
Te  0.108  0.720  0.828
Te  0.392  0.220  0.611
Te  0.608  0.780  0.389
Te  0.892  0.280  0.172

---

No. 9
KTmTe: relaxed, PBE.

## Properties
- Symmetry: No. 216
- Energy above the most stable polymorph in this dataset: 0.000 eV/atom

Lattice parameters (Å, degrees): 7.496 7.496 7.496 90.00 90.00 90.00
Atoms (fractional coordinates):
K  0.000  0.000  0.000
K  0.000  0.500  0.500
K  0.500  0.000  0.500
K  0.500  0.500  0.000
Tm  0.000  0.000  0.500
Tm  0.000  0.500  0.000
Tm  0.500  0.000  0.000
Tm  0.500  0.500  0.500
Te  0.250  0.250  0.250
Te  0.250  0.750  0.750
Te  0.750  0.250  0.750
Te  0.750  0.750  0.250

---

No. 10
KTmZnTe3: relaxed, PBE.

## Properties
- Symmetry: No. 11
- Total energy: -45.06 eV/cell

Lattice parameters (Å, degrees): 9.312 4.368 10.816 90.00 109.13 90.00
Atoms (fractional coordinates):
K  0.234  0.250  0.269
K  0.766  0.750  0.731
Tm  0.322  0.750  0.861
Tm  0.678  0.250  0.139
Zn  0.081  0.250  0.608
Zn  0.919  0.750  0.392
Te  0.088  0.250  0.854
Te  0.223  0.750  0.549
Te  0.456  0.750  0.155
Te  0.544  0.250  0.845
Te  0.777  0.250  0.451
Te  0.912  0.750  0.146

---

No. 11
KTmZnTe3: relaxed, PBE.

## Properties
- Symmetry: No. 12
- Total energy: -43.36 eV/cell

Lattice parameters (Å, degrees): 10.192 10.192 9.257 101.51 101.51 25.07
Atoms (fractional coordinates):
K  0.138  0.138  0.065
K  0.862  0.862  0.935
Tm  0.172  0.172  0.570
Tm  0.828  0.828  0.430
Zn  0.468  0.468  0.274
Zn  0.532  0.532  0.726
Te  0.000  0.000  0.500
Te  0.326  0.326  0.649
Te  0.332  0.332  0.206
Te  0.500  0.500  0.000
Te  0.668  0.668  0.794
Te  0.674  0.674  0.351

---

No. 12
KTeW: relaxed, PBE.

## Properties
- Symmetry: No. 216
- Energy above the most stable polymorph in this dataset: 0.000 eV/atom

Lattice parameters (Å, degrees): 7.371 7.371 7.371 90.00 90.00 90.00
Atoms (fractional coordinates):
K  0.000  0.000  0.000
K  0.000  0.500  0.500
K  0.500  0.000  0.500
K  0.500  0.500  0.000
Te  0.250  0.250  0.250
Te  0.250  0.750  0.750
Te  0.750  0.250  0.750
Te  0.750  0.750  0.250
W  0.000  0.000  0.500
W  0.000  0.500  0.000
W  0.500  0.000  0.000
W  0.500  0.500  0.500